No. 1
The following is a GGA-PBE calculation of a relaxed structure of ZnSnTeO, from OQMD.

## Properties
As for the total energy: -3.9182 eV/atom. The calculation puts the volume at 425 Å³/cell. The calculation puts the polymorph energy (0 for the lowest one) at 165 meV/atom.

Cell and atoms, written as CIF:
```
data_ZnSnTeO
_space_group_name_H-M_alt 'P 21 21 21'
_space_group_IT_number 19
_cell_length_a 5.336
_cell_length_b 8.730
_cell_length_c 9.134
_cell_angle_alpha 90.00
_cell_angle_beta 90.00
_cell_angle_gamma 90.00
loop_
_space_group_symop_operation_xyz
'x,y,z'
'-x+1/2,-y,z+1/2'
'x+1/2,-y+1/2,-z'
'-x,y+1/2,-z+1/2'
loop_
_atom_site_label
_atom_site_fract_x
_atom_site_fract_y
_atom_site_fract_z
_atom_site_occupancy
Zn1 0.057 0.221 0.121 1
Sn1 0.137 0.687 0.120 1
Te1 0.059 0.593 0.623 1
O1 0.154 0.157 0.517 1
```

---

No. 2
The following is a GGA-PBE calculation of a relaxed structure of ZnSnTeO, from OQMD.

## Properties
As for the total energy: -4.0393 eV/atom. The calculation puts the volume at 162 Å³/cell. The calculation puts the polymorph energy (0 for the lowest one) at 44 meV/atom.

Cell and atoms, written as CIF:
```
data_ZnSnTeO
_space_group_name_H-M_alt 'P 4/n m m'
_space_group_IT_number 129
_cell_length_a 4.069
_cell_length_b 4.069
_cell_length_c 9.804
_cell_angle_alpha 90.00
_cell_angle_beta 90.00
_cell_angle_gamma 90.00
loop_
_space_group_symop_operation_xyz
'x,y,z'
'-x,-y,-z'
'-y+1/2,x,z'
'y+1/2,-x,-z'
'-x+1/2,-y+1/2,z'
'x+1/2,y+1/2,-z'
'y,-x+1/2,z'
'-y,x+1/2,-z'
'x+1/2,-y,-z'
'-x+1/2,y,z'
'-y,-x,-z'
'y,x,z'
'-x,y+1/2,-z'
'x,-y+1/2,z'
'y+1/2,x+1/2,-z'
'-y+1/2,-x+1/2,z'
loop_
_atom_site_label
_atom_site_fract_x
_atom_site_fract_y
_atom_site_fract_z
_atom_site_occupancy
Zn1 0.250 0.250 0.118 1
Sn1 0.250 0.250 0.396 1
Te1 0.250 0.250 0.846 1
O1 0.250 0.750 0.500 1
```

---

No. 3
The following is a GGA-PBE calculation of a relaxed structure of ZnSnTeO, from OQMD.

## Properties
As for the total energy: -3.9070 eV/atom. The calculation puts the volume at 180 Å³/cell. The calculation puts the polymorph energy (0 for the lowest one) at 177 meV/atom.

Cell and atoms, written as CIF:
```
data_ZnSnTeO
_space_group_name_H-M_alt 'P 4/n m m'
_space_group_IT_number 129
_cell_length_a 3.874
_cell_length_b 3.874
_cell_length_c 11.961
_cell_angle_alpha 90.00
_cell_angle_beta 90.00
_cell_angle_gamma 90.00
loop_
_space_group_symop_operation_xyz
'x,y,z'
'-x,-y,-z'
'-y+1/2,x,z'
'y+1/2,-x,-z'
'-x+1/2,-y+1/2,z'
'x+1/2,y+1/2,-z'
'y,-x+1/2,z'
'-y,x+1/2,-z'
'x+1/2,-y,-z'
'-x+1/2,y,z'
'-y,-x,-z'
'y,x,z'
'-x,y+1/2,-z'
'x,-y+1/2,z'
'y+1/2,x+1/2,-z'
'-y+1/2,-x+1/2,z'
loop_
_atom_site_label
_atom_site_fract_x
_atom_site_fract_y
_atom_site_fract_z
_atom_site_occupancy
Zn1 0.250 0.750 0.000 1
Sn1 0.250 0.250 0.397 1
Te1 0.250 0.250 0.846 1
O1 0.250 0.250 0.569 1
```

---

No. 4
The following is a GGA-PBE calculation of a relaxed structure of ZnSnTeO, from OQMD.

## Properties
As for the total energy: -3.9740 eV/atom. The calculation puts the volume at 751 Å³/cell. The calculation puts the polymorph energy (0 for the lowest one) at 110 meV/atom.

Cell and atoms, written as CIF:
```
data_ZnSnTeO
_space_group_name_H-M_alt 'P b c a'
_space_group_IT_number 61
_cell_length_a 7.230
_cell_length_b 8.141
_cell_length_c 12.760
_cell_angle_alpha 90.00
_cell_angle_beta 90.00
_cell_angle_gamma 90.00
loop_
_space_group_symop_operation_xyz
'x,y,z'
'-x,-y,-z'
'-x+1/2,-y,z+1/2'
'x+1/2,y,-z+1/2'
'x+1/2,-y+1/2,-z'
'-x+1/2,y+1/2,z'
'-x,y+1/2,-z+1/2'
'x,-y+1/2,z+1/2'
loop_
_atom_site_label
_atom_site_fract_x
_atom_site_fract_y
_atom_site_fract_z
_atom_site_occupancy
Zn1 0.057 0.185 0.077 1
Sn1 0.201 0.601 0.753 1
Te1 0.245 0.067 0.492 1
O1 0.044 0.244 0.229 1
```

---

No. 5
The following is a GGA-PBE calculation of a relaxed structure of ZnSnTeO, from OQMD.

## Properties
As for the total energy: -4.0837 eV/atom. The calculation puts the volume at 356 Å³/cell. The calculation puts the polymorph energy (0 for the lowest one) at 0 meV/atom.

Cell and atoms, written as CIF:
```
data_ZnSnTeO
_space_group_name_H-M_alt 'P c a 21'
_space_group_IT_number 29
_cell_length_a 6.288
_cell_length_b 9.282
_cell_length_c 6.103
_cell_angle_alpha 90.00
_cell_angle_beta 90.00
_cell_angle_gamma 90.00
loop_
_space_group_symop_operation_xyz
'x,y,z'
'-x,-y,z+1/2'
'-x+1/2,y,z+1/2'
'x+1/2,-y,z'
loop_
_atom_site_label
_atom_site_fract_x
_atom_site_fract_y
_atom_site_fract_z
_atom_site_occupancy
Zn1 0.110 0.056 0.000 1
Sn1 0.030 0.313 0.615 1
Te1 0.019 0.673 0.608 1
O1 0.104 0.065 0.659 1
```

---

No. 6
The following is a GGA-PBE calculation of a relaxed structure of ZnSnTeO, from OQMD.

## Properties
As for the total energy: -3.9966 eV/atom. The calculation puts the volume at 750 Å³/cell. The calculation puts the polymorph energy (0 for the lowest one) at 87 meV/atom.

Cell and atoms, written as CIF:
```
data_ZnSnTeO
_space_group_name_H-M_alt 'P b c a'
_space_group_IT_number 61
_cell_length_a 6.573
_cell_length_b 12.478
_cell_length_c 9.147
_cell_angle_alpha 90.00
_cell_angle_beta 90.00
_cell_angle_gamma 90.00
loop_
_space_group_symop_operation_xyz
'x,y,z'
'-x,-y,-z'
'-x+1/2,-y,z+1/2'
'x+1/2,y,-z+1/2'
'x+1/2,-y+1/2,-z'
'-x+1/2,y+1/2,z'
'-x,y+1/2,-z+1/2'
'x,-y+1/2,z+1/2'
loop_
_atom_site_label
_atom_site_fract_x
_atom_site_fract_y
_atom_site_fract_z
_atom_site_occupancy
Zn1 0.029 0.130 0.208 1
Sn1 0.197 0.161 0.919 1
Te1 0.078 0.055 0.655 1
O1 0.240 0.698 0.308 1
```

---

Q: Which of these has the lowest polymorph energy (0 for the lowest one)?
A: number 5